DFT (PBE) results for a relaxed PmYErMg crystal.

Summary:
The space-group type is No. 99. The calculated formation energy is -0.0322 eV per atom. As for the offset from the most stable computed form: 0.000 eV per atom. The density of states at the Fermi level comes out at 1.232 states/eV/atom. The value obtained for the total magnetization is 0.00 μB per formula unit.

Cell: 3.6443 3.6443 9.0697 Å, 90.00 90.00 90.00°
With the nearest neighbours (Å) after each atom.
Fractional positions:
Pm: 0.0000 0.0000 0.0000  4 Er 3.55, 4 Y 3.60, 4 Pm 3.64
Y: 0.5000 0.5000 0.7230  4 Mg 3.31, 4 Pm 3.60, 4 Y 3.64
Er: 0.5000 0.5000 0.2697  4 Mg 3.28, 4 Pm 3.55, 4 Er 3.64
Mg: 0.0000 0.0000 0.4941  4 Er 3.28, 4 Y 3.31, 4 Mg 3.64